Density functional theory data (PBE) for a geometry-optimized ZnPW2 structure.

a b c (Å): 4.8229 4.8229 4.4590
angles (deg): 105.15 105.15 35.71
Atoms (fractional coordinates):
1 Zn 0.0000 0.0000 0.0000
2 P 0.2556 0.2556 0.6641
3 W 0.5276 0.5276 0.5198
4 W 0.7504 0.7504 0.1655

## Properties
As for the space group: Cm. The value obtained for the total energy is -31.66 eV per cell. As for the formation energy from the elements: 0.23 eV per atom. For the energy above the most stable polymorph in this dataset, the calculation gives 0.088 eV per atom. The value obtained for the total moment is 0.00 μB per formula unit.


Density functional theory data (PBE) for a geometry-optimized Zn3PW structure.

a b c (Å): 4.5537 4.5537 4.5537
angles (deg): 90.00 90.00 90.00
Atoms (fractional coordinates):
1 Zn 0.0000 0.0000 0.5000
2 Zn 0.0000 0.5000 0.0000
3 Zn 0.5000 0.0000 0.0000
4 P 0.0000 0.0000 0.0000
5 W 0.5000 0.5000 0.5000

## Properties
As for the space group: Pm-3m. The value obtained for the total energy is -16.10 eV per cell. As for the formation energy from the elements: 1.22 eV per atom. For the energy above the most stable polymorph in this dataset, the calculation gives 0.000 eV per atom. The value obtained for the total moment is 3.10 μB per formula unit.